Entry 1:
## Tb2Nd5Er6 (GGA-PBE)

Data for a relaxed structure of Tb2Nd5Er6.

Cell: 3.592 11.643 20.516 Å, 90.00 90.00 90.00°
Fractional positions:
Tb: 0.000 0.328 0.289
Tb: 0.000 0.672 0.711
Tb: 0.000 0.828 0.211
Tb: 0.000 0.172 0.789
Nd: 0.500 0.301 0.450
Nd: 0.500 0.699 0.550
Nd: 0.500 0.801 0.050
Nd: 0.500 0.199 0.950
Nd: 0.500 0.583 0.273
Nd: 0.500 0.417 0.727
Nd: 0.500 0.083 0.227
Nd: 0.500 0.917 0.773
Nd: 0.500 0.500 0.000
Nd: 0.500 0.000 0.500
Er: 0.000 0.080 0.368
Er: 0.000 0.920 0.632
Er: 0.000 0.580 0.132
Er: 0.000 0.420 0.868
Er: 0.500 0.324 0.137
Er: 0.500 0.676 0.863
Er: 0.500 0.824 0.363
Er: 0.500 0.176 0.637
Er: 0.000 0.562 0.419
Er: 0.000 0.438 0.581
Er: 0.000 0.062 0.081
Er: 0.000 0.938 0.919

The final energy comes out at -118.50 eV/cell. The formation energy is 0.0945 eV per atom.

Entry 2:
## Tb7NdEr3 (GGA-PBE)

Data for a relaxed structure of Tb7NdEr3.

Cell: 8.900 9.865 5.552 Å, 90.00 128.56 105.25°
Fractional positions:
Tb: 0.924 0.832 0.924
Tb: 0.826 0.643 0.326
Tb: 0.647 0.290 0.147
Tb: 0.353 0.710 0.853
Tb: 0.500 0.000 0.500
Tb: 0.174 0.357 0.674
Tb: 0.076 0.168 0.076
Nd: 0.500 0.500 0.500
Er: 0.223 0.003 0.723
Er: 0.000 0.500 0.000
Er: 0.777 0.997 0.277

The final energy comes out at -49.35 eV/cell. The formation energy is 0.1377 eV per atom.

Number 1: N(E_F) 31.7 states/eV per cell. Number 2: N(E_F) 16.0 states/eV per cell.